[1]
An optimized crystal structure of BaMnSe, computed with PBE.

## Properties
Distance to the lowest polymorph of the same formula = 0.000 eV per atom
Energy relative to the elements, uncorrected = -54 kJ/mol of atoms
Volume = 81.8 Å³/cell
DOS(E_F) = 3.1 states/eV/cell
Total energy = -0.1989 hartree per atom

Structure (POSCAR):
```
BaMnSe
1.0
4.391 0.000 0.000
-2.195 3.803 0.000
0.000 0.000 4.902
Ba Mn Se
1 1 1
Cartesian
0.000 0.000 0.000
2.195 1.268 2.451
0.000 2.535 2.451
```

=====

[2]
An optimized crystal structure of Ba2MnSe3, computed with PBE.

## Properties
Energy relative to the elements, uncorrected = -149 kJ/mol of atoms
Volume = 748.6 Å³/cell
Total energy = -0.2003 hartree per atom

Structure (POSCAR):
```
Ba2MnSe3
1.0
9.245 0.000 0.000
0.000 4.522 0.000
0.000 0.000 17.906
Ba Mn Se
8 4 12
Cartesian
0.769 1.131 3.833
2.284 1.131 17.151
2.338 3.392 8.198
3.854 3.392 12.786
5.392 1.131 5.120
6.907 1.131 9.708
6.961 3.392 0.755
8.477 3.392 14.073
1.198 1.131 11.362
3.424 3.392 2.409
5.821 1.131 15.497
8.047 3.392 6.544
0.026 3.392 10.763
1.171 3.392 1.300
1.664 1.131 13.841
2.959 3.392 4.888
3.452 1.131 10.253
4.597 1.131 1.810
4.649 3.392 16.096
5.793 3.392 7.653
6.287 1.131 13.018
7.581 3.392 4.065
8.075 1.131 16.606
9.219 1.131 7.143
```

=====

[3]
An optimized crystal structure of BaMn2Se3, computed with PBE.

## Properties
Energy relative to the elements, uncorrected = -81 kJ/mol of atoms
Volume = 293.7 Å³/cell
DOS(E_F) = 4.7 states/eV/cell
Total energy = -0.2191 hartree per atom

Structure (POSCAR):
```
BaMn2Se3
1.0
4.666 -5.928 0.000
4.666 5.928 0.000
0.000 0.000 5.309
Ba Mn Se
2 4 6
Cartesian
4.666 3.748 3.982
4.666 -3.748 1.327
3.389 0.000 0.000
3.389 0.000 2.654
5.944 0.000 0.000
5.944 0.000 2.654
1.972 1.408 3.982
1.972 -1.408 1.327
4.666 1.564 1.327
4.666 -1.564 3.982
7.360 1.408 3.982
7.360 -1.408 1.327
```

=====

[4]
An optimized crystal structure of BaMnSiSe4, computed with PBE.

## Properties
Energy relative to the elements, uncorrected = -85 kJ/mol of atoms
Volume = 387.6 Å³/cell
Total energy = -0.1921 hartree per atom

Structure (POSCAR):
```
BaMnSiSe4
1.0
6.356 0.000 0.000
0.000 7.206 0.000
-2.256 0.000 8.462
Ba Mn Si Se
2 2 2 8
Cartesian
1.349 1.802 0.513
2.752 5.405 7.949
-0.146 1.802 4.314
4.246 5.405 4.148
0.706 5.405 2.680
3.394 1.802 5.782
-1.416 0.071 5.992
-1.416 3.533 5.992
1.896 5.405 0.742
1.789 5.405 4.663
2.311 1.802 3.799
2.204 1.802 7.720
5.516 3.674 2.470
5.516 7.136 2.470
```

=====

[5]
An optimized crystal structure of BaMn2SiSe8, computed with PBE.

## Properties
Energy relative to the elements, uncorrected = -43 kJ/mol of atoms
Volume = 298.7 Å³/cell
DOS(E_F) = 2.6 states/eV/cell
Total energy = -0.1805 hartree per atom

Structure (POSCAR):
```
BaMn2SiSe8
1.0
6.187 0.000 0.000
-3.094 5.358 0.000
0.000 0.000 9.010
Ba Mn Si Se
1 2 1 8
Cartesian
0.000 0.000 0.000
0.000 3.572 6.723
3.094 1.786 2.287
0.000 0.000 4.505
-2.041 3.685 2.976
0.923 1.748 2.976
1.975 0.075 6.035
0.000 3.572 8.940
3.094 1.786 0.070
1.118 5.283 2.976
2.171 3.610 6.035
5.135 1.673 6.035
```

=====

[6]
An optimized crystal structure of Ba2SmMnSe5, computed with PBE.

## Properties
Energy relative to the elements, uncorrected = -150 kJ/mol of atoms
Volume = 552.3 Å³/cell
DOS(E_F) = 6.9 states/eV/cell
Total energy = -0.2007 hartree per atom

Structure (POSCAR):
```
Ba2SmMnSe5
1.0
2.173 -9.429 0.000
2.173 9.429 0.000
0.000 0.000 13.477
Ba Sm Mn Se
4 2 2 10
Cartesian
2.173 7.112 6.739
2.173 7.072 11.515
2.173 -7.072 4.777
2.173 -7.112 0.000
2.173 5.686 2.591
2.173 -5.686 9.330
2.173 1.118 7.881
2.173 -1.118 1.142
2.173 8.745 2.229
2.173 3.675 11.254
2.173 3.514 7.250
2.173 2.875 2.383
2.173 0.014 5.779
2.173 -0.014 12.517
2.173 -2.875 9.121
2.173 -3.514 0.511
2.173 -3.675 4.516
2.173 -8.745 8.968
```

=====

[7]
An optimized crystal structure of Ba2MnSnSe4, computed with PBE.

## Properties
Energy relative to the elements, uncorrected = -108 kJ/mol of atoms
Volume = 484.9 Å³/cell
Total energy = -0.1832 hartree per atom

Structure (POSCAR):
```
Ba2MnSnSe4
1.0
-4.396 4.435 6.218
4.396 -4.435 6.218
4.396 4.435 -6.218
Ba Mn Sn Se
4 2 2 8
Cartesian
0.000 0.000 0.000
-2.198 2.217 3.109
0.000 4.435 0.000
2.198 2.217 3.109
4.396 0.000 0.000
0.000 0.000 6.218
2.198 2.217 -3.109
2.198 -2.217 3.109
4.396 -0.121 2.855
2.484 2.217 -0.092
6.309 2.217 -0.092
4.396 4.314 -2.855
0.000 0.121 9.073
-1.913 2.217 6.309
1.913 2.217 6.309
0.000 4.556 3.362
```

=====

[8]
An optimized crystal structure of BaMn2SnSe, computed with PBE.

## Properties
Energy relative to the elements, uncorrected = 21 kJ/mol of atoms
Volume = 148.5 Å³/cell
DOS(E_F) = 7.4 states/eV/cell
Total energy = -0.1961 hartree per atom

Structure (POSCAR):
```
BaMn2SnSe
1.0
5.098 0.000 0.000
0.000 5.098 0.000
0.000 0.000 5.712
Ba Mn Sn Se
1 2 1 1
Cartesian
0.000 0.000 0.000
0.000 2.549 2.856
2.549 0.000 2.856
2.549 2.549 2.856
2.549 2.549 0.000
```

=====

[9]
An optimized crystal structure of BaSr2MnSe4, computed with PBE.

## Properties
Energy relative to the elements, uncorrected = -158 kJ/mol of atoms
Volume = 495.2 Å³/cell
Total energy = -0.1906 hartree per atom

Structure (POSCAR):
```
BaSr2MnSe4
1.0
2.202 -7.364 0.000
2.202 7.364 0.000
0.000 0.000 15.269
Ba Sr Mn Se
2 4 2 8
Cartesian
2.202 5.710 11.452
2.202 -5.710 3.817
2.202 1.926 8.442
2.202 1.926 14.461
2.202 -1.926 0.807
2.202 -1.926 6.827
2.202 5.015 3.817
2.202 -5.015 11.452
0.000 0.000 0.000
0.000 0.000 7.634
2.202 3.408 1.912
2.202 3.408 5.722
2.202 0.943 11.452
2.202 -0.943 3.817
2.202 -3.408 9.547
2.202 -3.408 13.356
```

=====

[10]
An optimized crystal structure of BaTa2MnSe, computed with PBE.

## Properties
Energy relative to the elements, uncorrected = 265 kJ/mol of atoms
Volume = 133.5 Å³/cell
DOS(E_F) = 3.2 states/eV/cell
Total energy = -0.1803 hartree per atom

Structure (POSCAR):
```
BaTa2MnSe
1.0
5.188 0.000 0.000
0.000 5.188 0.000
0.000 0.000 4.961
Ba Ta Mn Se
1 2 1 1
Cartesian
0.000 0.000 0.000
0.000 2.594 0.000
2.594 0.000 0.000
0.000 0.000 2.481
2.594 2.594 2.481
```

=====

[11]
An optimized crystal structure of Ba2MnTeSe, computed with PBE.

## Properties
Energy relative to the elements, uncorrected = -81 kJ/mol of atoms
Volume = 185.2 Å³/cell
DOS(E_F) = 3.6 states/eV/cell
Total energy = -0.1753 hartree per atom

Structure (POSCAR):
```
Ba2MnTeSe
1.0
6.330 0.000 0.000
0.000 6.330 0.000
0.000 0.000 4.621
Ba Mn Te Se
2 1 1 1
Cartesian
0.000 3.165 0.000
3.165 0.000 0.000
0.000 0.000 2.311
3.165 3.165 2.311
0.000 0.000 0.000
```

=====

[12]
An optimized crystal structure of Ba2MnTeSe2, computed with PBE.

## Properties
Energy relative to the elements, uncorrected = -140 kJ/mol of atoms
Volume = 796.2 Å³/cell
Total energy = -0.1949 hartree per atom

Structure (POSCAR):
```
Ba2MnTeSe2
1.0
9.360 0.000 0.000
0.000 4.655 0.000
0.000 0.000 18.273
Ba Mn Te Se
8 4 4 8
Cartesian
0.800 1.164 3.902
2.141 1.164 17.505
2.539 3.491 8.368
3.880 3.491 13.039
5.479 1.164 5.234
6.821 1.164 9.905
7.219 3.491 0.768
8.560 3.491 14.371
1.276 1.164 11.648
3.404 3.491 2.511
5.956 1.164 15.762
8.084 3.491 6.625
0.022 1.164 7.339
4.658 3.491 16.476
4.702 1.164 1.797
9.338 3.491 10.934
1.169 3.491 1.353
1.672 1.164 14.121
3.008 3.491 4.985
3.511 1.164 10.489
5.849 3.491 7.784
6.352 1.164 13.288
7.688 3.491 4.152
8.191 1.164 16.920
```

=====

[13]
An optimized crystal structure of Ba2MnTlSe5, computed with PBE.

## Properties
Energy relative to the elements, uncorrected = -100 kJ/mol of atoms
Volume = 553.3 Å³/cell
DOS(E_F) = 6.9 states/eV/cell
Total energy = -0.1720 hartree per atom

Structure (POSCAR):
```
Ba2MnTlSe5
1.0
2.164 -10.002 0.000
2.164 10.002 0.000
0.000 0.000 12.779
Ba Mn Tl Se
4 2 2 10
Cartesian
2.164 7.700 6.389
2.164 7.632 11.186
2.164 -7.632 4.797
2.164 -7.700 0.000
2.164 1.005 7.789
2.164 -1.005 1.399
2.164 5.610 2.781
2.164 -5.610 9.171
2.164 9.526 2.382
2.164 4.245 11.081
2.164 3.413 7.357
2.164 2.935 2.391
2.164 0.016 5.605
2.164 -0.016 11.994
2.164 -2.935 8.781
2.164 -3.413 0.968
2.164 -4.245 4.691
2.164 -9.526 8.772
```

=====

[14]
An optimized crystal structure of Ba2TmMnSe5, computed with PBE.

## Properties
Energy relative to the elements, uncorrected = -150 kJ/mol of atoms
Volume = 536.7 Å³/cell
DOS(E_F) = 6.9 states/eV/cell
Total energy = -0.1995 hartree per atom

Structure (POSCAR):
```
Ba2TmMnSe5
1.0
2.138 -9.383 0.000
2.138 9.383 0.000
0.000 0.000 13.377
Ba Tm Mn Se
4 2 2 10
Cartesian
2.138 7.048 6.688
2.138 7.021 11.480
2.138 -7.021 4.791
2.138 -7.048 0.000
2.138 5.645 2.612
2.138 -5.645 9.301
2.138 1.133 7.961
2.138 -1.133 1.273
2.138 8.616 2.445
2.138 3.676 11.150
2.138 3.519 7.306
2.138 2.920 2.395
2.138 0.043 5.850
2.138 -0.043 12.538
2.138 -2.920 9.084
2.138 -3.519 0.617
2.138 -3.676 4.462
2.138 -8.616 9.133
```

=====

[15]
An optimized crystal structure of BaTmMnSe4, computed with PBE.

## Properties
Energy relative to the elements, uncorrected = -130 kJ/mol of atoms
Volume = 379.9 Å³/cell
DOS(E_F) = 3.7 states/eV/cell
Total energy = -0.2044 hartree per atom

Structure (POSCAR):
```
BaTmMnSe4
1.0
6.824 0.000 0.000
0.000 6.552 0.000
-2.763 0.000 8.498
Ba Tm Mn Se
2 2 2 8
Cartesian
1.528 1.638 0.491
2.533 4.914 8.007
0.122 1.638 4.735
3.939 4.914 3.763
0.707 4.914 2.780
3.354 1.638 5.718
-1.842 3.349 6.068
-1.842 6.479 6.068
2.520 4.914 1.194
1.386 4.914 5.045
2.674 1.638 3.453
1.540 1.638 7.304
5.902 0.073 2.430
5.902 3.203 2.430
```

=====

[16]
An optimized crystal structure of Ba3UMnSe6, computed with PBE.

## Properties
Energy relative to the elements, uncorrected = -149 kJ/mol of atoms
Volume = 658.4 Å³/cell
DOS(E_F) = 11.3 states/eV/cell
Total energy = -0.2142 hartree per atom

Structure (POSCAR):
```
Ba3UMnSe6
1.0
6.325 3.652 4.751
-6.325 3.652 4.751
0.000 -7.303 4.751
Ba U Mn Se
6 2 2 12
Cartesian
-3.908 0.534 5.939
-2.417 -3.118 8.315
1.492 -3.652 5.939
-1.492 3.652 8.315
2.417 3.118 5.939
3.908 -0.534 8.315
0.000 0.000 3.563
0.000 0.000 10.690
0.000 0.000 0.000
0.000 0.000 7.127
-5.518 -1.661 7.838
-1.320 -5.609 6.415
-1.320 -1.694 5.463
-4.198 3.948 6.415
-0.807 1.990 5.463
-2.127 0.296 8.791
2.127 -0.296 5.463
0.807 -1.990 8.791
4.198 -3.948 7.838
1.320 1.694 8.791
1.320 5.609 7.838
5.518 1.661 6.415
```

=====

[17]
An optimized crystal structure of Ba2UMnSe6, computed with PBE.

## Properties
Energy relative to the elements, uncorrected = -129 kJ/mol of atoms
Volume = 577.6 Å³/cell
DOS(E_F) = 3.4 states/eV/cell
Total energy = -0.2152 hartree per atom

Structure (POSCAR):
```
Ba2UMnSe6
1.0
7.318 0.000 0.000
0.000 7.525 0.000
-7.246 0.000 10.488
Ba U Mn Se
4 2 2 12
Cartesian
-0.097 0.449 2.594
-3.720 3.313 7.838
3.792 4.212 2.650
0.170 7.076 7.893
3.659 0.000 0.000
0.036 3.763 5.244
-3.623 0.000 5.244
0.000 3.763 0.000
-5.752 1.580 10.121
-2.129 2.182 4.877
-5.115 5.301 10.139
-1.492 5.986 4.896
-3.120 0.022 7.830
0.503 3.741 2.586
-0.430 3.785 7.901
3.193 7.503 2.657
1.565 1.539 5.592
5.187 2.224 0.348
2.201 5.343 5.611
5.824 5.945 0.367
```

=====

[18]
An optimized crystal structure of BaUMnSe4, computed with PBE.

## Properties
Energy relative to the elements, uncorrected = -113 kJ/mol of atoms
Volume = 392.6 Å³/cell
DOS(E_F) = 9.3 states/eV/cell
Total energy = -0.2339 hartree per atom

Structure (POSCAR):
```
BaUMnSe4
1.0
6.819 0.000 0.000
0.000 6.792 0.000
-2.821 0.000 8.476
Ba U Mn Se
2 2 2 8
Cartesian
1.526 1.698 0.493
2.472 5.094 7.983
-0.024 1.698 4.685
4.022 5.094 3.790
0.670 5.094 2.742
3.328 1.698 5.734
-1.866 3.487 6.092
-1.866 6.702 6.092
2.543 5.094 1.212
1.412 5.094 5.015
2.586 1.698 3.461
1.455 1.698 7.264
5.864 0.091 2.383
5.864 3.306 2.383
```

=====

[19]
An optimized crystal structure of BaMnZnSe2, computed with PBE.

## Properties
Energy relative to the elements, uncorrected = 67 kJ/mol of atoms
Volume = 260.1 Å³/cell
DOS(E_F) = 4.1 states/eV/cell
Total energy = -0.1168 hartree per atom

Structure (POSCAR):
```
BaMnZnSe2
1.0
6.158 0.000 0.000
0.000 6.158 0.000
0.000 0.000 6.859
Ba Mn Zn Se
1 1 1 2
Cartesian
0.000 0.000 0.000
0.000 0.000 3.430
3.079 3.079 3.430
0.000 3.079 0.000
3.079 0.000 0.000
```